No. 1
VASP calculation (PBEsol) on a relaxed structure of KLi3Ir.

The total magnetization is 0.000 μB per formula unit. The value obtained for the formation energy is 1.62 eV/f.u.

The structure belongs to space group Pm-3m (No. 221); the cell edges are 4.846, 4.846 and 4.846 Å and the angles 90.00°, 90.00° and 90.00°. Symmetry generates all atoms from K at (0.000, 0.000, 0.000), Li at (0.000, 0.500, 0.500) and Ir at (0.500, 0.500, 0.500).

No. 2
VASP calculation (PBEsol) on a relaxed structure of MgBeTe2.

The total magnetization is 0.000 μB per formula unit. For the formation energy (no corrections), the calculation gives -0.5502 eV/atom.

The structure belongs to space group I-42d (No. 122); the cell edges are 6.125, 6.125 and 11.604 Å and the angles 90.00°, 90.00° and 90.00°. Symmetry generates all atoms from Mg at (0.000, 0.000, 0.000), Be at (0.000, 0.000, 0.500) and Te at (0.203, 0.250, 0.625).

No. 3
VASP calculation (PBEsol) on a relaxed structure of HgAsOsPd2.

The total magnetization is 0.000 μB per formula unit. The value obtained for the formation energy is 4.58 eV/f.u.

The structure belongs to space group P4/mmm (No. 123); the cell edges are 4.880, 4.880 and 4.545 Å and the angles 90.00°, 90.00° and 90.00°. Symmetry generates all atoms from Hg at (0.000, 0.000, 0.000), As at (0.500, 0.500, 0.000), Os at (0.500, 0.500, 0.500) and Pd at (0.000, 0.500, 0.500).

No. 4
VASP calculation (PBEsol) on a relaxed structure of Y2Pt2Pb.

The total magnetization is 0.000 μB per formula unit. The value obtained for the formation energy is -3.76 eV/f.u.

The structure belongs to space group I4/mmm (No. 139); the cell edges are 3.827, 3.827 and 16.289 Å and the angles 90.00°, 90.00° and 90.00°. Symmetry generates all atoms from Y at (0.000, 0.000, 0.123), Pt at (0.000, 0.500, 0.250) and Pb at (0.000, 0.000, 0.500).

No. 5
VASP calculation (PBEsol) on a relaxed structure of La3Tc.

The total magnetization is 0.001 μB per formula unit. The value obtained for the formation energy is 1.18 eV/f.u.

The structure belongs to space group Fm-3m (No. 225); the cell edges are 7.335, 7.335 and 7.335 Å and the angles 90.00°, 90.00° and 90.00°. Symmetry generates all atoms from La at (0.000, 0.000, 0.000), La at (0.250, 0.250, 0.250) and Tc at (0.000, 0.000, 0.500).

No. 6
VASP calculation (PBEsol) on a relaxed structure of BaLaBr.

The total magnetization is 3.764 μB per formula unit. For the formation energy (no corrections), the calculation gives 0.1919 eV/atom.

The structure belongs to space group F-43m (No. 216); the cell edges are 7.992, 7.992 and 7.992 Å and the angles 90.00°, 90.00° and 90.00°. Symmetry generates all atoms from Ba at (0.000, 0.000, 0.000), La at (0.250, 0.250, 0.250) and Br at (0.250, 0.250, 0.750).

No. 7
VASP calculation (PBEsol) on a relaxed structure of SrLaCrO4.

The total magnetization is 3.002 μB per formula unit. For the formation energy (no corrections), the calculation gives -2.8095 eV/atom.

The structure belongs to space group I4mm (No. 107); the cell edges are 3.847, 3.847 and 12.305 Å and the angles 90.00°, 90.00° and 90.00°. Symmetry generates all atoms from Sr at (0.000, 0.000, 0.000), La at (0.000, 0.000, 0.718), Cr at (0.000, 0.000, 0.363), O at (0.000, 0.000, 0.196), O at (0.000, 0.000, 0.526) and O at (0.000, 0.500, 0.352).

No. 8
VASP calculation (PBEsol) on a relaxed structure of MgFe3H.

The total magnetization is 6.879 μB per formula unit. The value obtained for the uncorrected energy is -31.4 eV/f.u.

The structure belongs to space group Pm-3m (No. 221); the cell edges are 3.720, 3.720 and 3.720 Å and the angles 90.00°, 90.00° and 90.00°. Symmetry generates all atoms from Mg at (0.000, 0.000, 0.000), Fe at (0.000, 0.500, 0.500) and H at (0.500, 0.500, 0.500).